The following is a GGA-PBE calculation of crystalline TiCrOsCl2 at its relaxed geometry, from Alexandria.

a b c (Å): 4.8045 4.8045 4.8398
angles (deg): 90.00 90.00 90.00
With the nearest neighbours (Å) after each atom.
Fractional positions:
Ti1 0.0000 0.0000 0.0000  2 Os 2.42
Cr1 0.5000 0.5000 0.0000  4 Ti 3.40, 8 Cl 3.41
Os1 0.0000 0.0000 0.5000  4 Cl 2.40, 2 Ti 2.42
Cl1 0.0000 0.5000 0.5000  2 Os 2.40
Cl2 0.5000 0.0000 0.5000  2 Os 2.40

Properties
As for the symmetry: No. 123. Its volume is 22.3 Å³ per atom. Its total energy is -27.56 eV for the cell shown.

The following is a GGA-PBE calculation of crystalline BaZn2SiOs at its relaxed geometry, from Alexandria.

a b c (Å): 4.9801 4.9801 4.6186
angles (deg): 90.00 90.00 90.00
With the nearest neighbours (Å) after each atom.
Fractional positions:
Ba1 0.0000 0.0000 0.0000  8 Zn 3.40, 4 Si 3.52
Zn1 0.0000 0.5000 0.5000  2 Os 2.49
Zn2 0.5000 0.0000 0.5000  2 Os 2.49
Si1 0.5000 0.5000 0.0000  2 Os 2.31
Os1 0.5000 0.5000 0.5000  2 Si 2.31, 4 Zn 2.49

Properties
As for the symmetry: No. 123. Its volume is 22.9 Å³ per atom. Its total energy is -22.41 eV for the cell shown.

The following is a GGA-PBE calculation of crystalline Ho2MgGe2 at its relaxed geometry, from Alexandria.

a b c (Å): 7.2411 7.2411 4.2269
angles (deg): 90.00 90.00 90.00
With the nearest neighbours (Å) after each atom.
Fractional positions:
Ho1 0.1771 0.3229 0.0000  6 Ge 2.93-3.06
Ho2 0.3229 0.8229 0.0000  6 Ge 2.93-3.06
Ho3 0.6771 0.1771 0.0000  6 Ge 2.93-3.06
Ho4 0.8229 0.6771 0.0000  6 Ge 2.93-3.06
Mg1 0.0000 0.0000 0.5000  4 Ge 2.87
Mg2 0.5000 0.5000 0.5000  4 Ge 2.87
Ge1 0.1240 0.6240 0.5000  1 Ge 2.54
Ge2 0.3760 0.1240 0.5000  1 Ge 2.54
Ge3 0.6240 0.8760 0.5000  1 Ge 2.54
Ge4 0.8760 0.3760 0.5000  1 Ge 2.54

Properties
The energy of formation from the pure elements is -74.7 kJ per mole of atoms. As for the symmetry: No. 127. Its volume is 22.2 Å³ per atom.

The following is a GGA-PBE calculation of crystalline BeS2Cl at its relaxed geometry, from Alexandria.

a b c (Å): 6.2941 6.2941 6.2941
angles (deg): 90.00 90.00 90.00
With the nearest neighbours (Å) after each atom.
Fractional positions:
Be1 0.0000 0.0000 0.0000  8 S 2.73
Be2 0.0000 0.5000 0.5000  8 S 2.73
Be3 0.5000 0.0000 0.5000  8 S 2.73
Be4 0.5000 0.5000 0.0000  8 S 2.73
S1 0.2500 0.2500 0.2500  4 Cl 2.73, 4 Be 2.73
S2 0.2500 0.2500 0.7500  4 Cl 2.73, 4 Be 2.73
S3 0.2500 0.7500 0.2500  4 Cl 2.73, 4 Be 2.73
S4 0.2500 0.7500 0.7500  4 Cl 2.73, 4 Be 2.73
S5 0.7500 0.2500 0.2500  4 Cl 2.73, 4 Be 2.73
S6 0.7500 0.2500 0.7500  4 Cl 2.73, 4 Be 2.73
S7 0.7500 0.7500 0.2500  4 Cl 2.73, 4 Be 2.73
S8 0.7500 0.7500 0.7500  4 Cl 2.73, 4 Be 2.73
Cl1 0.0000 0.0000 0.5000  8 S 2.73
Cl2 0.0000 0.5000 0.0000  8 S 2.73
Cl3 0.5000 0.0000 0.0000  8 S 2.73
Cl4 0.5000 0.5000 0.5000  8 S 2.73

Properties
As for the distance to the lowest polymorph of the same formula: 1029 meV/atom. As for the symmetry: No. 225. Its volume is 15.6 Å³ per atom.

The following is a GGA-PBE calculation of crystalline CeHfCrN3 at its relaxed geometry, from Alexandria.

a b c (Å): 7.1502 3.2145 7.1634
angles (deg): 90.00 103.11 90.00
With the nearest neighbours (Å) after each atom.
Fractional positions:
Ce1 0.1903 0.2500 0.2071  5 N 2.40-2.58
Ce2 0.8097 0.7500 0.7929  5 N 2.40-2.58
Hf1 0.3497 0.7500 0.8438  5 N 2.16-2.28
Hf2 0.6503 0.2500 0.1562  5 N 2.16-2.28
Cr1 0.0883 0.2500 0.5936  4 N 1.89-1.99
Cr2 0.9117 0.7500 0.4064  4 N 1.89-1.99
N1 0.1295 0.2500 0.8633  1 Cr 1.89
N2 0.1930 0.7500 0.4901  3 Cr 1.96-1.99
N3 0.4342 0.7500 0.1535  3 Hf 2.16-2.23
N4 0.5658 0.2500 0.8465  3 Hf 2.16-2.23
N5 0.8070 0.2500 0.5099  3 Cr 1.96-1.99
N6 0.8705 0.7500 0.1367  1 Cr 1.89

Properties
As for the symmetry: No. 11. Its volume is 13.4 Å³ per atom. Its total energy is -115.57 eV for the cell shown.

The following is a GGA-PBE calculation of crystalline ScAl2Sn at its relaxed geometry, from Alexandria.

a b c (Å): 4.2800 4.2800 4.2815
angles (deg): 90.00 90.00 90.00
With the nearest neighbours (Å) after each atom.
Fractional positions:
Sc1 0.0000 0.0000 0.0000  4 Sn 3.03, 8 Al 3.03
Al1 0.0000 0.5000 0.5000  4 Al 3.03, 4 Sn 3.03, 4 Sc 3.03
Al2 0.5000 0.0000 0.5000  4 Al 3.03, 4 Sn 3.03, 4 Sc 3.03
Sn1 0.5000 0.5000 0.0000  4 Sc 3.03, 8 Al 3.03

Properties
The energy of formation from the pure elements is -32.0 kJ per mole of atoms. As for the symmetry: No. 123. Its volume is 19.6 Å³ per atom.

The following is a GGA-PBE calculation of crystalline TaNb3Mo at its relaxed geometry, from Alexandria.

a b c (Å): 4.7755 4.7755 4.7755
angles (deg): 90.00 90.00 90.00
With the nearest neighbours (Å) after each atom.
Fractional positions:
Ta1 0.0000 0.0000 0.0000  12 Nb 3.38
Nb1 0.0000 0.5000 0.5000  2 Mo 2.39
Nb2 0.5000 0.0000 0.5000  2 Mo 2.39
Nb3 0.5000 0.5000 0.0000  2 Mo 2.39
Mo1 0.5000 0.5000 0.5000  6 Nb 2.39

Properties
As for the distance to the lowest polymorph of the same formula: 1453 meV/atom. The energy of formation from the pure elements is 132.7 kJ per mole of atoms. As for the symmetry: No. 221. Its volume is 21.8 Å³ per atom.

The following is a GGA-PBE calculation of crystalline LaTaSiI2 at its relaxed geometry, from Alexandria.

a b c (Å): 6.1458 6.1458 5.8605
angles (deg): 90.00 90.00 90.00
With the nearest neighbours (Å) after each atom.
Fractional positions:
La1 0.0000 0.0000 0.0000  2 Si 2.93, 4 I 3.07
Ta1 0.5000 0.5000 0.5000  8 I 4.25, 4 Si 4.35
Si1 0.0000 0.0000 0.5000  2 La 2.93
I1 0.0000 0.5000 0.0000  2 La 3.07
I2 0.5000 0.0000 0.0000  2 La 3.07

Properties
As for the symmetry: No. 123. Its volume is 44.3 Å³ per atom. Its total energy is -19.25 eV for the cell shown.

The following is a GGA-PBE calculation of crystalline YOs2Au at its relaxed geometry, from Alexandria.

a b c (Å): 4.0679 4.0679 4.2284
angles (deg): 90.00 90.00 90.00
With the nearest neighbours (Å) after each atom.
Fractional positions:
Y1 0.0000 0.0000 0.0000  4 Au 2.88, 8 Os 2.93
Os1 0.0000 0.5000 0.5000  4 Os 2.88, 4 Y 2.93, 4 Au 2.93
Os2 0.5000 0.0000 0.5000  4 Os 2.88, 4 Y 2.93, 4 Au 2.93
Au1 0.5000 0.5000 0.0000  4 Y 2.88, 8 Os 2.93

Properties
As for the distance to the lowest polymorph of the same formula: 157 meV/atom. The energy of formation from the pure elements is 21.8 kJ per mole of atoms. As for the symmetry: No. 123. Its volume is 17.5 Å³ per atom.

The following is a GGA-PBE calculation of crystalline Mg2IrPt at its relaxed geometry, from Alexandria.

a b c (Å): 2.9155 2.9155 25.9427
angles (deg): 90.00 90.00 120.00
With the nearest neighbours (Å) after each atom.
Fractional positions:
Mg1 0.0000 0.0000 0.2486  3 Ir 2.71, 3 Pt 2.77, 6 Mg 2.92
Mg2 0.0000 0.0000 0.7514  3 Ir 2.71, 3 Pt 2.77, 6 Mg 2.92
Mg3 0.3333 0.6667 0.4180  3 Ir 2.71, 3 Pt 2.77, 6 Mg 2.92
Mg4 0.3333 0.6667 0.9153  3 Ir 2.71, 3 Pt 2.77, 6 Mg 2.92
Mg5 0.6667 0.3333 0.0847  3 Ir 2.71, 3 Pt 2.77, 6 Mg 2.92
Mg6 0.6667 0.3333 0.5820  3 Ir 2.71, 3 Pt 2.77, 6 Mg 2.92
Ir1 0.0000 0.0000 0.5000  6 Mg 2.71, 6 Ir 2.92
Ir2 0.3333 0.6667 0.1667  6 Mg 2.71, 6 Ir 2.92
Ir3 0.6667 0.3333 0.8333  6 Mg 2.71, 6 Ir 2.92
Pt1 0.0000 0.0000 0.0000  6 Mg 2.77, 6 Pt 2.92
Pt2 0.3333 0.6667 0.6667  6 Mg 2.77, 6 Pt 2.92
Pt3 0.6667 0.3333 0.3333  6 Mg 2.77, 6 Pt 2.92

Properties
The energy of formation from the pure elements is -38.5 kJ per mole of atoms. As for the symmetry: No. 166. Its volume is 15.9 Å³ per atom.

The following is a GGA-PBE calculation of crystalline GdScBe2 at its relaxed geometry, from Alexandria.

a b c (Å): 6.6283 6.6283 6.6283
angles (deg): 90.00 90.00 90.00
With the nearest neighbours (Å) after each atom.
Fractional positions:
Gd1 0.0000 0.0000 0.0000  8 Be 2.87
Gd2 0.0000 0.5000 0.5000  8 Be 2.87
Gd3 0.5000 0.0000 0.5000  8 Be 2.87
Gd4 0.5000 0.5000 0.0000  8 Be 2.87
Sc1 0.0000 0.0000 0.5000  8 Be 2.87
Sc2 0.0000 0.5000 0.0000  8 Be 2.87
Sc3 0.5000 0.0000 0.0000  8 Be 2.87
Sc4 0.5000 0.5000 0.5000  8 Be 2.87
Be1 0.2500 0.2500 0.2500  4 Gd 2.87, 4 Sc 2.87
Be2 0.2500 0.2500 0.7500  4 Gd 2.87, 4 Sc 2.87
Be3 0.2500 0.7500 0.2500  4 Gd 2.87, 4 Sc 2.87
Be4 0.2500 0.7500 0.7500  4 Gd 2.87, 4 Sc 2.87
Be5 0.7500 0.2500 0.2500  4 Gd 2.87, 4 Sc 2.87
Be6 0.7500 0.2500 0.7500  4 Gd 2.87, 4 Sc 2.87
Be7 0.7500 0.7500 0.2500  4 Gd 2.87, 4 Sc 2.87
Be8 0.7500 0.7500 0.7500  4 Gd 2.87, 4 Sc 2.87

Properties
As for the distance to the lowest polymorph of the same formula: 27 meV/atom. The energy of formation from the pure elements is 6.7 kJ per mole of atoms. As for the symmetry: No. 225. Its volume is 18.2 Å³ per atom.

The following is a GGA-PBE calculation of crystalline AcPmAg2Ge2 at its relaxed geometry, from Alexandria.

a b c (Å): 4.5911 4.5911 8.0625
angles (deg): 90.00 90.00 120.00
With the nearest neighbours (Å) after each atom.
Fractional positions:
Ac1 0.0000 0.0000 0.0000  6 Ge 3.41, 6 Ag 3.47
Pm1 0.0000 0.0000 0.5000  6 Ag 3.20, 6 Ge 3.26
Ag1 0.3333 0.6667 0.7222  3 Ge 2.65
Ag2 0.6667 0.3333 0.2778  3 Ge 2.65
Ge1 0.3333 0.6667 0.2656  3 Ag 2.65
Ge2 0.6667 0.3333 0.7344  3 Ag 2.65

Properties
The energy of formation from the pure elements is -57.6 kJ per mole of atoms. As for the symmetry: No. 164. Its volume is 24.5 Å³ per atom.

The following is a GGA-PBE calculation of crystalline LiPmPrTc at its relaxed geometry, from Alexandria.

a b c (Å): 7.1763 7.1763 7.1763
angles (deg): 90.00 90.00 90.00
With the nearest neighbours (Å) after each atom.
Fractional positions:
Li1 0.0000 0.0000 0.0000  4 Pr 3.11, 4 Pm 3.11
Li2 0.0000 0.5000 0.5000  4 Pr 3.11, 4 Pm 3.11
Li3 0.5000 0.0000 0.5000  4 Pr 3.11, 4 Pm 3.11
Li4 0.5000 0.5000 0.0000  4 Pr 3.11, 4 Pm 3.11
Pm1 0.2500 0.2500 0.2500  4 Li 3.11, 4 Tc 3.11
Pm2 0.2500 0.7500 0.7500  4 Li 3.11, 4 Tc 3.11
Pm3 0.7500 0.2500 0.7500  4 Li 3.11, 4 Tc 3.11
Pm4 0.7500 0.7500 0.2500  4 Li 3.11, 4 Tc 3.11
Pr1 0.2500 0.2500 0.7500  4 Tc 3.11, 4 Li 3.11
Pr2 0.2500 0.7500 0.2500  4 Tc 3.11, 4 Li 3.11
Pr3 0.7500 0.2500 0.2500  4 Tc 3.11, 4 Li 3.11
Pr4 0.7500 0.7500 0.7500  4 Tc 3.11, 4 Li 3.11
Tc1 0.0000 0.0000 0.5000  4 Pm 3.11, 4 Pr 3.11
Tc2 0.0000 0.5000 0.0000  4 Pm 3.11, 4 Pr 3.11
Tc3 0.5000 0.0000 0.0000  4 Pm 3.11, 4 Pr 3.11
Tc4 0.5000 0.5000 0.5000  4 Pm 3.11, 4 Pr 3.11

Properties
The energy of formation from the pure elements is 7.0 kJ per mole of atoms. As for the symmetry: No. 216. Its volume is 23.1 Å³ per atom.

The following is a GGA-PBE calculation of crystalline CrOsRu4Rh2 at its relaxed geometry, from Alexandria.

a b c (Å): 3.8066 3.8066 7.6199
angles (deg): 90.00 90.00 90.00
With the nearest neighbours (Å) after each atom.
Fractional positions:
Cr1 0.0000 0.0000 0.0000  8 Ru 2.66, 4 Os 2.69
Os1 0.5000 0.5000 0.0000  8 Ru 2.66, 4 Cr 2.69
Ru1 0.0000 0.5000 0.2432  2 Cr 2.66, 2 Os 2.66, 4 Ru 2.69, 4 Rh 2.73
Ru2 0.0000 0.5000 0.7568  2 Cr 2.66, 2 Os 2.66, 4 Ru 2.69, 4 Rh 2.73
Ru3 0.5000 0.0000 0.2432  2 Cr 2.66, 2 Os 2.66, 4 Ru 2.69, 4 Rh 2.73
Ru4 0.5000 0.0000 0.7568  2 Cr 2.66, 2 Os 2.66, 4 Ru 2.69, 4 Rh 2.73
Rh1 0.0000 0.0000 0.5000  4 Rh 2.69, 8 Ru 2.73
Rh2 0.5000 0.5000 0.5000  4 Rh 2.69, 8 Ru 2.73

Properties
The energy of formation from the pure elements is 5.4 kJ per mole of atoms. As for the symmetry: No. 123. Its volume is 13.8 Å³ per atom.

The following is a GGA-PBE calculation of crystalline NaBeBr2 at its relaxed geometry, from Alexandria.

a b c (Å): 4.1390 4.1390 23.0939
angles (deg): 90.00 90.00 120.00
With the nearest neighbours (Å) after each atom.
Fractional positions:
Na1 0.0000 0.0000 0.0000  6 Br 2.94
Na2 0.3333 0.6667 0.6667  6 Br 2.94
Na3 0.6667 0.3333 0.3333  6 Br 2.94
Be1 0.0000 0.0000 0.5000  2 Br 2.13
Be2 0.3333 0.6667 0.1667  2 Br 2.13
Be3 0.6667 0.3333 0.8333  2 Br 2.13
Br1 0.0000 0.0000 0.4076  1 Be 2.13
Br2 0.0000 0.0000 0.5924  1 Be 2.13
Br3 0.3333 0.6667 0.0743  1 Be 2.13
Br4 0.3333 0.6667 0.2590  1 Be 2.13
Br5 0.6667 0.3333 0.7410  1 Be 2.13
Br6 0.6667 0.3333 0.9257  1 Be 2.13

Properties
As for the distance to the lowest polymorph of the same formula: 19 meV/atom. As for the symmetry: No. 166. Its volume is 28.6 Å³ per atom.

The following is a GGA-PBE calculation of crystalline YAgSb2 at its relaxed geometry, from Alexandria.

a b c (Å): 3.9821 3.9821 6.3514
angles (deg): 90.00 90.00 90.00
With the nearest neighbours (Å) after each atom.
Fractional positions:
Y1 0.0000 0.0000 0.0000  2 Ag 3.18, 8 Sb 3.26
Ag1 0.0000 0.0000 0.5000  2 Y 3.18, 8 Sb 3.21
Sb1 0.5000 0.5000 0.2581  2 Sb 3.07-3.28, 4 Ag 3.21, 4 Y 3.26
Sb2 0.5000 0.5000 0.7419  2 Sb 3.07-3.28, 4 Ag 3.21, 4 Y 3.26

Properties
As for the symmetry: No. 123. Its volume is 25.2 Å³ per atom. Its total energy is -18.97 eV for the cell shown.

The following is a GGA-PBE calculation of crystalline LaHoSe3 at its relaxed geometry, from Alexandria.

a b c (Å): 4.1878 7.0551 9.1672
angles (deg): 90.00 90.00 90.00
With the nearest neighbours (Å) after each atom.
Fractional positions:
La1 0.2500 0.2500 0.1504  6 Se 2.93-3.16
La2 0.7500 0.7500 0.8496  6 Se 2.93-3.16
Ho1 0.2500 0.7500 0.3993  7 Se 2.88-2.98
Ho2 0.7500 0.2500 0.6007  7 Se 2.88-2.98
Se1 0.2500 0.5181 0.6630  3 Ho 2.88-2.92, 2 La 3.16
Se2 0.2500 0.7500 0.0738  2 La 2.93, 1 Ho 2.98
Se3 0.2500 0.9819 0.6630  3 Ho 2.88-2.92, 2 La 3.16
Se4 0.7500 0.0181 0.3370  3 Ho 2.88-2.92, 2 La 3.16
Se5 0.7500 0.2500 0.9262  2 La 2.93, 1 Ho 2.98
Se6 0.7500 0.4819 0.3370  3 Ho 2.88-2.92, 2 La 3.16

Properties
As for the distance to the lowest polymorph of the same formula: 41 meV/atom. As for the symmetry: No. 59. Its volume is 27.1 Å³ per atom.